{"formula": "YTeP", "functional": "GGA-PBE", "state": "optimized geometry", "e_form_raw_mev_per_atom": -508, "cell": [[0.000, 3.505, 3.505], [3.505, 0.000, 3.505], [3.505, 3.505, 0.000]], "species": ["Y", "P", "Te"], "frac_coords": [[0.250, 0.250, 0.250], [0.000, 0.000, 0.000], [0.500, 0.500, 0.500]]}

---

{"formula": "Zr5Zn", "functional": "GGA-PBE", "state": "optimized geometry", "e_above_lowest_polymorph_mev_per_atom": 11, "delta_e_f_ev_per_atom": -0.05, "cell": [[5.498, -0.024, -0.004], [4.020, 3.751, -0.004], [2.094, 0.820, 6.251]], "species": ["Zr", "Zr", "Zr", "Zr", "Zr", "Zn"], "frac_coords": [[0.000, 0.000, 0.500], [0.334, 0.334, 0.325], [0.659, 0.659, 0.153], [0.666, 0.666, 0.675], [0.341, 0.341, 0.847], [0.000, 0.000, 0.000]]}

---

{"formula": "TlGa2Ge", "functional": "GGA-PBE", "state": "optimized geometry", "e_above_lowest_polymorph_mev_per_atom": 85, "delta_e_f_ev_per_atom": 0.18, "cell": [[5.000, 0.000, 0.000], [2.500, 4.330, 0.000], [2.500, 1.443, 4.082]], "species": ["Ga", "Ga", "Tl", "Ge"], "frac_coords": [[0.250, 0.250, 0.250], [0.750, 0.750, 0.750], [0.500, 0.500, 0.500], [0.000, 0.000, 0.000]]}

---

{"formula": "SbIrRh2", "functional": "GGA-PBE", "state": "optimized geometry", "e_form_raw_mev_per_atom": -159, "cell": [[3.960, 0.000, 0.000], [0.000, 3.960, 0.000], [0.000, 0.000, 3.993]], "species": ["Rh", "Rh", "Sb", "Ir"], "frac_coords": [[0.000, 0.500, 0.000], [0.500, 0.000, 0.000], [0.500, 0.500, 0.500], [0.000, 0.000, 0.500]]}

---

{"formula": "SrCaY3", "functional": "GGA-PBE", "state": "optimized geometry", "e_above_lowest_polymorph_mev_per_atom": 0, "delta_e_f_ev_per_atom": 0.69, "cell": [[5.825, 0.000, 0.000], [0.000, 5.825, 0.000], [0.000, 0.000, 5.825]], "species": ["Ca", "Y", "Y", "Y", "Sr"], "frac_coords": [[0.000, 0.000, 0.000], [0.000, 0.000, 0.500], [0.000, 0.500, 0.000], [0.500, 0.000, 0.000], [0.500, 0.500, 0.500]]}

---

{"formula": "FeCo3", "functional": "GGA-PBE", "state": "optimized geometry", "delta_e_f_ev_per_atom": 0.03, "cell": [[3.996, 0.000, 0.000], [0.000, 4.669, -0.002], [0.000, 0.832, 4.829]], "species": ["Fe", "Fe", "Co", "Co", "Co", "Co", "Co", "Co"], "frac_coords": [[0.500, 0.250, 0.122], [0.500, 0.750, 0.378], [0.000, 0.500, 0.750], [0.000, 0.997, 0.503], [0.500, 0.746, 0.879], [0.000, 0.500, 0.250], [0.500, 0.254, 0.621], [0.000, 0.003, 0.997]]}

---

{"formula": "CdFeIr2", "functional": "GGA-PBE", "state": "optimized geometry", "delta_e_f_ev_per_atom": 0.29, "cell": [[-4.078, -3.488, -0.048], [0.363, -4.478, 2.935], [-0.116, 5.362, -0.178]], "species": ["Ir", "Ir", "Cd", "Fe"], "frac_coords": [[0.763, 0.263, 0.500], [0.009, 0.009, 0.000], [0.493, 0.493, 0.000], [0.235, 0.735, 0.500]]}

---

{"formula": "Ac3HRuBr", "functional": "GGA-PBE", "state": "optimized geometry", "dft_energy_ev_per_atom": -5.059, "cell": [[4.081, 0.000, 0.000], [0.000, 9.651, -0.460], [0.000, -3.020, 9.202]], "species": ["H", "H", "Ru", "Ru", "Ac", "Ac", "Ac", "Ac", "Ac", "Ac", "Br", "Br"], "frac_coords": [[0.750, 0.913, 0.397], [0.250, 0.087, 0.603], [0.250, 0.163, 0.236], [0.750, 0.837, 0.764], [0.250, 0.616, 0.762], [0.750, 0.384, 0.238], [0.750, 0.922, 0.127], [0.250, 0.078, 0.873], [0.750, 0.186, 0.513], [0.250, 0.814, 0.487], [0.750, 0.358, 0.868], [0.250, 0.642, 0.132]]}

---

Looking at Fermi-level density of states for the records above, in order, we have 4.0, 6.3, 2.1, 2.3, 4.7, 9.8, 4.7, 6.5 states/eV per cell.